# 1
DFT (PBE) results for an optimized crystal structure of Na5Ca2.

Summary:
energy: -20.852 eV for the cell shown
energy of formation: 0.02 eV/atom
total magnetization: 0.000 μB/atom

Cell: 3.7627 3.7627 38.1018 Å, 90.00 90.00 90.00°
Closest atoms and distances in Å follow each position.
Element x y z (fractional)
Na1 0.0000 0.0000 0.0000  12 Na 3.76
Na2 0.0000 0.0000 0.1396  8 Na 3.76, 4 Ca 3.85
Na3 0.0000 0.0000 0.4302  12 Na 3.76
Na4 0.0000 0.0000 0.5698  12 Na 3.76
Na5 0.0000 0.0000 0.8604  8 Na 3.76, 4 Ca 3.85
Na6 0.5000 0.5000 0.0698  12 Na 3.76
Na7 0.5000 0.5000 0.3604  8 Na 3.76, 4 Ca 3.85
Na8 0.5000 0.5000 0.5000  12 Na 3.76
Na9 0.5000 0.5000 0.6396  8 Na 3.76, 4 Ca 3.85
Na10 0.5000 0.5000 0.9302  12 Na 3.76
Ca1 0.0000 0.0000 0.2873  8 Ca 3.76-3.89, 4 Na 3.85
Ca2 0.0000 0.0000 0.7127  8 Ca 3.76-3.89, 4 Na 3.85
Ca3 0.5000 0.5000 0.2127  8 Ca 3.76-3.89, 4 Na 3.85
Ca4 0.5000 0.5000 0.7873  8 Ca 3.76-3.89, 4 Na 3.85

# 2
DFT (PBE) results for an optimized crystal structure of Na3Ca.

Summary:
energy: -11.736 eV for the cell shown
energy of formation: 0.02 eV/atom
total magnetization: 0.000 μB/atom

Cell: 3.7467 3.7467 21.8778 Å, 90.00 90.00 90.00°
Closest atoms and distances in Å follow each position.
Element x y z (fractional)
Na1 0.2500 0.2500 0.0615  12 Na 3.75-3.78
Na2 0.2500 0.2500 0.3060  8 Na 3.75-3.77, 4 Ca 3.87
Na3 0.2500 0.2500 0.8164  12 Na 3.75-3.77
Na4 0.7500 0.7500 0.1836  12 Na 3.75-3.77
Na5 0.7500 0.7500 0.6940  8 Na 3.75-3.77, 4 Ca 3.87
Na6 0.7500 0.7500 0.9385  12 Na 3.75-3.78
Ca1 0.2500 0.2500 0.5653  8 Ca 3.75-3.90, 4 Na 3.87
Ca2 0.7500 0.7500 0.4347  8 Ca 3.75-3.90, 4 Na 3.87

# 3
DFT (PBE) results for an optimized crystal structure of NaCa.

Summary:
energy: -10.964 eV for the cell shown
offset from the most stable computed form: 0.51 eV/f.u.
energy of formation: 0.29 eV/atom
total magnetization: 0.000 μB/atom

Cell: 6.9045 6.9045 6.9045 Å, 90.00 90.00 90.00°
Closest atoms and distances in Å follow each position.
Element x y z (fractional)
Na1 0.0000 0.0000 0.0000  6 Ca 3.45
Na2 0.0000 0.5000 0.5000  6 Ca 3.45
Na3 0.5000 0.0000 0.5000  6 Ca 3.45
Na4 0.5000 0.5000 0.0000  6 Ca 3.45
Ca1 0.0000 0.0000 0.5000  6 Na 3.45
Ca2 0.0000 0.5000 0.0000  6 Na 3.45
Ca3 0.5000 0.0000 0.0000  6 Na 3.45
Ca4 0.5000 0.5000 0.5000  6 Na 3.45

# 4
DFT (PBE) results for an optimized crystal structure of NaCa.

Summary:
energy: -11.744 eV for the cell shown
offset from the most stable computed form: 0.32 eV/f.u.
energy of formation: 0.19 eV/atom
total magnetization: 0.000 μB/atom

Cell: 10.6571 9.6205 6.5029 Å, 80.21 62.82 36.96°
Closest atoms and distances in Å follow each position.
Element x y z (fractional)
Na1 0.0421 0.0421 0.2079  1 Na 3.00
Na2 0.2079 0.2079 0.0421  1 Na 3.00
Na3 0.7921 0.7921 0.9579  1 Na 3.00
Na4 0.9579 0.9579 0.7921  1 Na 3.00
Ca1 0.2114 0.5386 0.2114  2 Na 3.57, 3 Ca 3.68-3.80
Ca2 0.4614 0.7886 0.4614  2 Na 3.57, 3 Ca 3.68-3.80
Ca3 0.5386 0.2114 0.5386  2 Na 3.57, 3 Ca 3.68-3.80
Ca4 0.7886 0.4614 0.7886  2 Na 3.57, 3 Ca 3.68-3.80

# 5
DFT (PBE) results for an optimized crystal structure of Na3Ca.

Summary:
energy: -5.632 eV for the cell shown
energy of formation: 0.08 eV/atom
total magnetization: 0.000 μB/atom

Cell: 5.3546 5.3546 5.3546 Å, 90.00 90.00 90.00°
Closest atoms and distances in Å follow each position.
Element x y z (fractional)
Na1 0.0000 0.0000 0.5000  8 Na 3.79, 4 Ca 3.79
Na2 0.0000 0.5000 0.0000  8 Na 3.79, 4 Ca 3.79
Na3 0.5000 0.0000 0.0000  8 Na 3.79, 4 Ca 3.79
Ca1 0.5000 0.5000 0.5000  12 Na 3.79

# 6
DFT (PBE) results for an optimized crystal structure of Na2Ca.

Summary:
energy: -8.912 eV for the cell shown
energy of formation: 0.06 eV/atom
total magnetization: 0.000 μB/atom

Cell: 4.0054 4.0054 14.1931 Å, 90.00 90.00 90.00°
Closest atoms and distances in Å follow each position.
Element x y z (fractional)
Na1 0.0000 0.0000 0.1756  4 Na 3.53, 4 Ca 3.77
Na2 0.0000 0.0000 0.8244  4 Na 3.53, 4 Ca 3.77
Na3 0.5000 0.5000 0.3244  4 Na 3.53, 4 Ca 3.77
Na4 0.5000 0.5000 0.6756  4 Na 3.53, 4 Ca 3.77
Ca1 0.0000 0.0000 0.5000  8 Na 3.77, 4 Ca 4.01
Ca2 0.5000 0.5000 0.0000  8 Na 3.77, 4 Ca 4.01

# 7
DFT (PBE) results for an optimized crystal structure of Na2Ca17.

Summary:
energy: -33.721 eV for the cell shown
energy of formation: 0.15 eV/atom
total magnetization: 0.000 μB/atom

Cell: 9.7119 9.7119 9.7119 Å, 81.39 81.39 81.39°
Closest atoms and distances in Å follow each position.
Element x y z (fractional)
Na1 0.1906 0.1906 0.1906  13 Ca 4.11-4.57
Na2 0.8094 0.8094 0.8094  13 Ca 4.11-4.57
Ca1 0.0000 0.5000 0.5000  10 Ca 3.65-3.91
Ca2 0.1558 0.1558 0.6531  9 Ca 3.65-3.97
Ca3 0.1558 0.6531 0.1558  9 Ca 3.65-3.97
Ca4 0.1964 0.5000 0.8036  8 Ca 3.74-3.94
Ca5 0.1964 0.8036 0.5000  8 Ca 3.74-3.94
Ca6 0.3469 0.8442 0.8442  9 Ca 3.65-3.97
Ca7 0.4050 0.4050 0.4050  7 Ca 3.64-3.97
Ca8 0.5000 0.0000 0.5000  10 Ca 3.65-3.91
Ca9 0.5000 0.1964 0.8036  8 Ca 3.74-3.94
Ca10 0.5000 0.5000 0.0000  10 Ca 3.65-3.91
Ca11 0.5000 0.8036 0.1964  8 Ca 3.74-3.94
Ca12 0.5950 0.5950 0.5950  7 Ca 3.64-3.97
Ca13 0.6531 0.1558 0.1558  9 Ca 3.65-3.97
Ca14 0.8036 0.1964 0.5000  8 Ca 3.74-3.94
Ca15 0.8036 0.5000 0.1964  8 Ca 3.74-3.94
Ca16 0.8442 0.3469 0.8442  9 Ca 3.65-3.97
Ca17 0.8442 0.8442 0.3469  9 Ca 3.65-3.97

# 8
DFT (PBE) results for an optimized crystal structure of Na2Ca.

Summary:
energy: -4.468 eV for the cell shown
energy of formation: 0.06 eV/atom
total magnetization: 0.000 μB/atom

Cell: 3.8263 3.8316 9.5187 Å, 101.07 90.28 119.47°
Closest atoms and distances in Å follow each position.
Element x y z (fractional)
Na1 0.2244 0.4420 0.1633  9 Na 3.74-3.86, 3 Ca 3.82-3.84
Na2 0.7756 0.5580 0.8367  9 Na 3.74-3.86, 3 Ca 3.82-3.84
Ca1 0.0000 0.0000 0.5000  6 Na 3.82-3.84, 6 Ca 3.83-3.86

# 9
DFT (PBE) results for an optimized crystal structure of NaCa4.

Summary:
energy: -27.497 eV for the cell shown
offset from the most stable computed form: 0.00 eV/f.u.
energy of formation: 0.03 eV/atom
total magnetization: 0.000 μB/atom

Cell: 3.8794 3.8794 47.7484 Å, 90.00 90.00 120.00°
Closest atoms and distances in Å follow each position.
Element x y z (fractional)
Na1 0.0000 0.0000 0.0000  6 Na 3.88, 6 Ca 3.89
Na2 0.3333 0.6667 0.6667  6 Na 3.88, 6 Ca 3.89
Na3 0.6667 0.3333 0.3333  6 Na 3.88, 6 Ca 3.89
Ca1 0.0000 0.0000 0.2003  12 Ca 3.88-3.91
Ca2 0.0000 0.0000 0.4000  9 Ca 3.88, 3 Na 3.89
Ca3 0.0000 0.0000 0.6000  9 Ca 3.88, 3 Na 3.89
Ca4 0.0000 0.0000 0.7997  12 Ca 3.88-3.91
Ca5 0.3333 0.6667 0.0667  9 Ca 3.88, 3 Na 3.89
Ca6 0.3333 0.6667 0.2667  9 Ca 3.88, 3 Na 3.89
Ca7 0.3333 0.6667 0.4664  12 Ca 3.88-3.91
Ca8 0.3333 0.6667 0.8670  12 Ca 3.88-3.91
Ca9 0.6667 0.3333 0.1330  12 Ca 3.88-3.91
Ca10 0.6667 0.3333 0.5336  12 Ca 3.88-3.91
Ca11 0.6667 0.3333 0.7333  9 Ca 3.88, 3 Na 3.89
Ca12 0.6667 0.3333 0.9333  9 Ca 3.88, 3 Na 3.89

# 10
DFT (PBE) results for an optimized crystal structure of NaCa.

Summary:
energy: -18.062 eV for the cell shown
offset from the most stable computed form: 0.24 eV/f.u.
energy of formation: 0.16 eV/atom
total magnetization: 0.000 μB/atom

Cell: 12.7354 12.7354 3.6562 Å, 90.00 90.00 120.00°
Closest atoms and distances in Å follow each position.
Element x y z (fractional)
Na1 0.0568 0.2851 0.2500  6 Na 3.66-3.80, 4 Ca 3.75-3.86
Na2 0.2284 0.9432 0.2500  6 Na 3.66-3.80, 4 Ca 3.75-3.86
Na3 0.2851 0.2284 0.7500  6 Na 3.66-3.80, 4 Ca 3.75-3.86
Na4 0.7149 0.7716 0.2500  6 Na 3.66-3.80, 4 Ca 3.75-3.86
Na5 0.7716 0.0568 0.7500  6 Na 3.66-3.80, 4 Ca 3.75-3.86
Na6 0.9432 0.7149 0.7500  6 Na 3.66-3.80, 4 Ca 3.75-3.86
Ca1 0.1462 0.6160 0.2500  6 Ca 3.66-3.87, 4 Na 3.75-3.86
Ca2 0.3840 0.5302 0.2500  6 Ca 3.66-3.87, 4 Na 3.75-3.86
Ca3 0.4698 0.8538 0.2500  6 Ca 3.66-3.87, 4 Na 3.75-3.86
Ca4 0.5302 0.1462 0.7500  6 Ca 3.66-3.87, 4 Na 3.75-3.86
Ca5 0.6160 0.4698 0.7500  6 Ca 3.66-3.87, 4 Na 3.75-3.86
Ca6 0.8538 0.3840 0.7500  6 Ca 3.66-3.87, 4 Na 3.75-3.86

# 11
DFT (PBE) results for an optimized crystal structure of Na3Ca.

Summary:
energy: -11.386 eV for the cell shown
energy of formation: 0.07 eV/atom
total magnetization: 0.000 μB/atom

Cell: 4.0671 12.2287 6.1480 Å, 90.00 90.00 90.00°
Closest atoms and distances in Å follow each position.
Element x y z (fractional)
Na1 0.0000 0.0000 0.0000  4 Na 3.52, 4 Ca 3.68-3.69
Na2 0.0000 0.2646 0.5068  6 Na 3.52-3.70, 2 Ca 3.82
Na3 0.0000 0.7354 0.5068  6 Na 3.52-3.70, 2 Ca 3.82
Na4 0.5000 0.2354 0.0068  6 Na 3.52-3.70, 2 Ca 3.82
Na5 0.5000 0.5000 0.5000  4 Na 3.52, 4 Ca 3.68-3.69
Na6 0.5000 0.7646 0.0068  6 Na 3.52-3.70, 2 Ca 3.82
Ca1 0.0000 0.5000 0.0005  8 Na 3.68-3.82, 2 Ca 4.07
Ca2 0.5000 0.0000 0.5005  8 Na 3.68-3.82, 2 Ca 4.07

# 12
DFT (PBE) results for an optimized crystal structure of NaCa3.

Summary:
energy: -7.103 eV for the cell shown
energy of formation: 0.06 eV/atom
total magnetization: 0.000 μB/atom

Cell: 3.8911 6.3254 6.6873 Å, 90.00 90.00 90.00°
Closest atoms and distances in Å follow each position.
Element x y z (fractional)
Na1 0.0000 0.0000 0.0000  10 Ca 3.86-3.91, 2 Na 3.89
Ca1 0.0000 0.5000 0.3433  10 Ca 3.85-3.89, 2 Na 3.91
Ca2 0.5000 0.0000 0.4990  8 Ca 3.86-3.90, 4 Na 3.86-3.87
Ca3 0.5000 0.5000 0.8397  8 Ca 3.85-3.90, 4 Na 3.86

# 13
DFT (PBE) results for an optimized crystal structure of Na7Ca.

Summary:
energy: -21.790 eV for the cell shown
energy of formation: 0.04 eV/atom
total magnetization: 0.000 μB/atom

Cell: 5.1777 5.1777 22.3578 Å, 90.00 90.00 90.00°
Closest atoms and distances in Å follow each position.
Element x y z (fractional)
Na1 0.0000 0.0000 0.0000  4 Ca 3.66, 8 Na 3.86
Na2 0.0000 0.0000 0.2522  12 Na 3.66-3.80
Na3 0.0000 0.0000 0.7478  12 Na 3.66-3.80
Na4 0.0000 0.5000 0.1279  10 Na 3.66-3.86, 2 Ca 3.86
Na5 0.0000 0.5000 0.3721  10 Na 3.66-3.86, 2 Ca 3.86
Na6 0.0000 0.5000 0.6279  10 Na 3.66-3.86, 2 Ca 3.86
Na7 0.0000 0.5000 0.8721  10 Na 3.66-3.86, 2 Ca 3.86
Na8 0.5000 0.0000 0.1279  10 Na 3.66-3.86, 2 Ca 3.86
Na9 0.5000 0.0000 0.3721  10 Na 3.66-3.86, 2 Ca 3.86
Na10 0.5000 0.0000 0.6279  10 Na 3.66-3.86, 2 Ca 3.86
Na11 0.5000 0.0000 0.8721  10 Na 3.66-3.86, 2 Ca 3.86
Na12 0.5000 0.5000 0.2478  12 Na 3.66-3.80
Na13 0.5000 0.5000 0.5000  4 Ca 3.66, 8 Na 3.86
Na14 0.5000 0.5000 0.7522  12 Na 3.66-3.80
Ca1 0.0000 0.0000 0.5000  12 Na 3.66-3.86
Ca2 0.5000 0.5000 0.0000  12 Na 3.66-3.86

# 14
DFT (PBE) results for an optimized crystal structure of Na3Ca.

Summary:
energy: -11.349 eV for the cell shown
energy of formation: 0.07 eV/atom
total magnetization: 0.000 μB/atom

Cell: 7.5571 7.5571 6.1506 Å, 90.00 90.00 120.00°
Closest atoms and distances in Å follow each position.
Element x y z (fractional)
Na1 0.1645 0.3291 0.2500  8 Na 3.73-3.83, 4 Ca 3.78-3.79
Na2 0.1645 0.8355 0.2500  8 Na 3.73-3.83, 4 Ca 3.78-3.79
Na3 0.3291 0.1645 0.7500  8 Na 3.73-3.83, 4 Ca 3.78-3.79
Na4 0.6709 0.8355 0.2500  8 Na 3.73-3.83, 4 Ca 3.78-3.79
Na5 0.8355 0.1645 0.7500  8 Na 3.73-3.83, 4 Ca 3.78-3.79
Na6 0.8355 0.6709 0.7500  8 Na 3.73-3.83, 4 Ca 3.78-3.79
Ca1 0.3333 0.6667 0.7500  12 Na 3.78-3.79
Ca2 0.6667 0.3333 0.2500  12 Na 3.78-3.79

# 15
DFT (PBE) results for an optimized crystal structure of NaCa.

Summary:
energy: -18.753 eV for the cell shown
offset from the most stable computed form: 0.13 eV/f.u.
energy of formation: 0.10 eV/atom
total magnetization: 0.000 μB/atom

Cell: 6.0144 10.8141 7.2908 Å, 90.00 90.00 90.00°
Closest atoms and distances in Å follow each position.
Element x y z (fractional)
Na1 0.0000 0.0000 0.0000  8 Ca 3.57-4.00, 4 Na 3.87
Na2 0.0000 0.3495 0.2504  1 Na 3.26, 2 Ca 3.54
Na3 0.0000 0.6505 0.2504  1 Na 3.26, 2 Ca 3.54
Na4 0.5000 0.1505 0.7504  1 Na 3.26, 2 Ca 3.54
Na5 0.5000 0.5000 0.5000  8 Ca 3.57-4.00, 4 Na 3.87
Na6 0.5000 0.8495 0.7504  1 Na 3.26, 2 Ca 3.54
Ca1 0.0000 0.0000 0.4901  6 Na 3.57-3.91, 6 Ca 3.96-3.99
Ca2 0.0000 0.3240 0.7510  5 Na 3.54-3.95, 3 Ca 3.81-3.96
Ca3 0.0000 0.6760 0.7510  5 Na 3.54-3.95, 3 Ca 3.81-3.96
Ca4 0.5000 0.1760 0.2510  5 Na 3.54-3.95, 3 Ca 3.81-3.96
Ca5 0.5000 0.5000 0.9901  6 Na 3.57-3.91, 6 Ca 3.96-3.99
Ca6 0.5000 0.8240 0.2510  5 Na 3.54-3.95, 3 Ca 3.81-3.96

# 16
DFT (PBE) results for an optimized crystal structure of NaCa3.

Summary:
energy: -7.063 eV for the cell shown
energy of formation: 0.07 eV/atom
total magnetization: 0.000 μB/atom

Cell: 5.4633 5.4633 5.4633 Å, 90.00 90.00 90.00°
Closest atoms and distances in Å follow each position.
Element x y z (fractional)
Na1 0.0000 0.0000 0.0000  12 Ca 3.86
Ca1 0.0000 0.5000 0.5000  4 Na 3.86, 8 Ca 3.86
Ca2 0.5000 0.0000 0.5000  4 Na 3.86, 8 Ca 3.86
Ca3 0.5000 0.5000 0.0000  4 Na 3.86, 8 Ca 3.86

# 17
DFT (PBE) results for an optimized crystal structure of NaCa.

Summary:
energy: -6.327 eV for the cell shown
offset from the most stable computed form: 0.09 eV/f.u.
energy of formation: 0.08 eV/atom
total magnetization: 0.000 μB/atom

Cell: 3.8295 6.2422 6.7882 Å, 90.00 90.32 90.00°
Closest atoms and distances in Å follow each position.
Element x y z (fractional)
Na1 0.2458 0.2500 0.4089  6 Ca 3.81-3.92, 6 Na 3.83-3.88
Na2 0.7542 0.7500 0.5911  6 Ca 3.81-3.92, 6 Na 3.83-3.88
Ca1 0.2518 0.7500 0.0878  6 Na 3.81-3.92, 6 Ca 3.83-3.85
Ca2 0.7482 0.2500 0.9122  6 Na 3.81-3.92, 6 Ca 3.83-3.85

# 18
DFT (PBE) results for an optimized crystal structure of NaCa.

Summary:
energy: -6.505 eV for the cell shown
offset from the most stable computed form: 0.00 eV/f.u.
energy of formation: 0.03 eV/atom
total magnetization: 0.000 μB/atom

Cell: 3.8610 3.8610 12.4809 Å, 90.00 90.00 120.00°
Closest atoms and distances in Å follow each position.
Element x y z (fractional)
Na1 0.3333 0.6667 0.1224  9 Na 3.78-3.86, 3 Ca 3.85
Na2 0.6667 0.3333 0.8776  9 Na 3.78-3.86, 3 Ca 3.85
Ca1 0.3333 0.6667 0.6258  9 Ca 3.85-3.86, 3 Na 3.85
Ca2 0.6667 0.3333 0.3742  9 Ca 3.85-3.86, 3 Na 3.85

# 19
DFT (PBE) results for an optimized crystal structure of NaCa.

Summary:
energy: -10.857 eV for the cell shown
offset from the most stable computed form: 1.44 eV/f.u.
energy of formation: 0.76 eV/atom
total magnetization: 0.000 μB/atom

Cell: 9.9844 9.9844 9.9844 Å, 90.00 90.00 90.00°
Closest atoms and distances in Å follow each position.
Element x y z (fractional)
Na1 0.0000 0.2500 0.5000  4 Ca 3.53
Na2 0.0000 0.7500 0.5000  4 Ca 3.53
Na3 0.2500 0.5000 0.0000  4 Ca 3.53
Na4 0.5000 0.0000 0.2500  4 Ca 3.53
Na5 0.5000 0.0000 0.7500  4 Ca 3.53
Na6 0.7500 0.5000 0.0000  4 Ca 3.53
Ca1 0.0000 0.5000 0.2500  4 Na 3.53
Ca2 0.0000 0.5000 0.7500  4 Na 3.53
Ca3 0.2500 0.0000 0.5000  4 Na 3.53
Ca4 0.5000 0.2500 0.0000  4 Na 3.53
Ca5 0.5000 0.7500 0.0000  4 Na 3.53
Ca6 0.7500 0.0000 0.5000  4 Na 3.53

# 20
DFT (PBE) results for an optimized crystal structure of Na2Ca5.

Summary:
energy: -24.993 eV for the cell shown
energy of formation: 0.02 eV/atom
total magnetization: 0.000 μB/atom

Cell: 3.9827 3.9827 35.4729 Å, 90.00 90.00 90.00°
Closest atoms and distances in Å follow each position.
Element x y z (fractional)
Na1 0.0000 0.0000 0.2195  4 Na 3.55, 4 Ca 3.77
Na2 0.0000 0.0000 0.7805  4 Na 3.55, 4 Ca 3.77
Na3 0.5000 0.5000 0.2805  4 Na 3.55, 4 Ca 3.77
Na4 0.5000 0.5000 0.7195  4 Na 3.55, 4 Ca 3.77
Ca1 0.0000 0.0000 0.0743  12 Ca 3.86-3.98
Ca2 0.0000 0.0000 0.3510  4 Na 3.77, 8 Ca 3.87-3.98
Ca3 0.0000 0.0000 0.5000  12 Ca 3.86-3.98
Ca4 0.0000 0.0000 0.6490  4 Na 3.77, 8 Ca 3.87-3.98
Ca5 0.0000 0.0000 0.9257  12 Ca 3.86-3.98
Ca6 0.5000 0.5000 0.0000  12 Ca 3.86-3.98
Ca7 0.5000 0.5000 0.1490  4 Na 3.77, 8 Ca 3.87-3.98
Ca8 0.5000 0.5000 0.4257  12 Ca 3.86-3.98
Ca9 0.5000 0.5000 0.5743  12 Ca 3.86-3.98
Ca10 0.5000 0.5000 0.8510  4 Na 3.77, 8 Ca 3.87-3.98